Record 1
First-principles (GGA-PBE) data for crystalline Re2Ag at its relaxed geometry, as listed in Alexandria.

a = 4.6329 Å, b = 4.6329 Å, c = 2.6299 Å
α = 90.00°, β = 90.00°, γ = 90.00°
Closest atoms and distances in Å follow each position.
Space group P4/mmm (No. 123)
Unique sites:
Re1 0.0000 0.5000 0.0000 x2  2 Re 2.63, 4 Ag 2.66
Ag1 0.0000 0.0000 0.5000 x1  2 Ag 2.63, 8 Re 2.66

## Properties
Formation enthalpy at 0 K   1.975 eV/atom
Energy above the most stable polymorph in this dataset   1666 meV/atom
Total energy   -0.53462 Ry/atom

---

Record 2
First-principles (GGA-PBE) data for crystalline Hf2NbBi at its relaxed geometry, as listed in Alexandria.

a = 4.2646 Å, b = 4.2646 Å, c = 20.7419 Å
α = 90.00°, β = 90.00°, γ = 90.00°
Closest atoms and distances in Å follow each position.
Space group I-42d (No. 122)
Unique sites:
Hf1 0.2468 0.2500 0.1250 x8  2 Nb 2.99, 4 Hf 3.00-3.03, 2 Bi 3.00
Nb1 0.0000 0.0000 0.0000 x4  4 Hf 2.99, 4 Bi 3.02
Bi1 0.0000 0.0000 0.5000 x4  4 Hf 3.00, 4 Nb 3.02

## Properties
Formation enthalpy at 0 K   0.556 eV/atom
Total energy   -0.58127 Ry/atom

---

Record 3
First-principles (GGA-PBE) data for crystalline Ir4PbAu at its relaxed geometry, as listed in Alexandria.

a = 7.5406 Å, b = 7.5406 Å, c = 7.5406 Å
α = 90.00°, β = 90.00°, γ = 90.00°
Closest atoms and distances in Å follow each position.
Space group F-43m (No. 216)
Unique sites:
Ir1 0.1252 0.1252 0.1252 x16  6 Ir 2.66-2.67
Pb1 0.2500 0.2500 0.7500 x4  12 Ir 3.13, 4 Au 3.27
Au1 0.0000 0.0000 0.5000 x4  12 Ir 3.13, 4 Pb 3.27

## Properties
Formation enthalpy at 0 K   0.578 eV/atom
Total energy   -0.47724 Ry/atom

---

Record 4
First-principles (GGA-PBE) data for crystalline CaY4Al at its relaxed geometry, as listed in Alexandria.

a = 9.1421 Å, b = 9.1421 Å, c = 9.1421 Å
α = 90.00°, β = 90.00°, γ = 90.00°
Closest atoms and distances in Å follow each position.
Space group F-43m (No. 216)
Unique sites:
Ca1 0.0000 0.0000 0.0000 x4  12 Y 3.79, 4 Al 3.96
Y1 0.1243 0.1243 0.6243 x16  6 Y 3.21-3.25
Al1 0.2500 0.2500 0.2500 x4  12 Y 3.79, 4 Ca 3.96

## Properties
Formation enthalpy at 0 K   0.299 eV/atom
Total energy   -0.36516 Ry/atom

---

Record 5
First-principles (GGA-PBE) data for crystalline TcPW at its relaxed geometry, as listed in Alexandria.

a = 2.9119 Å, b = 4.0458 Å, c = 7.4072 Å
α = 90.00°, β = 90.00°, γ = 90.00°
Closest atoms and distances in Å follow each position.
Space group Imm2 (No. 44)
Unique sites:
Tc1 0.0000 0.0000 0.0000 x2  1 P 2.42, 1 W 2.52
P1 0.0000 0.0000 0.6727 x2  1 Tc 2.42, 1 W 2.46
W1 0.0000 0.0000 0.3408 x2  1 P 2.46, 1 Tc 2.52

## Properties
Formation enthalpy at 0 K   0.062 eV/atom
Energy above the most stable polymorph in this dataset   272 meV/atom
Total energy   -0.69932 Ry/atom

---

Record 6
First-principles (GGA-PBE) data for crystalline PmHoHgRu at its relaxed geometry, as listed in Alexandria.

a = 7.1891 Å, b = 7.1891 Å, c = 7.1891 Å
α = 90.00°, β = 90.00°, γ = 90.00°
Closest atoms and distances in Å follow each position.
Space group F-43m (No. 216)
Unique sites:
Pm1 0.0000 0.0000 0.0000 x4  4 Hg 3.11, 4 Ru 3.11
Ho1 0.0000 0.0000 0.5000 x4  4 Hg 3.11, 4 Ru 3.11
Hg1 0.2500 0.2500 0.7500 x4  4 Ho 3.11, 4 Pm 3.11
Ru1 0.2500 0.2500 0.2500 x4  4 Ho 3.11, 4 Pm 3.11

## Properties
Formation enthalpy at 0 K   -0.312 eV/atom
Energy above the most stable polymorph in this dataset   113 meV/atom
Total energy   -0.37029 Ry/atom